(1)
DFT (PBE-GGA) results for a geometry-optimized NaTaO2 structure.

Results
Symmetry: P4/mmm (123)

Lattice parameters (Å, degrees): 2.729 2.729 5.876 90.00 90.00 90.00
Atoms (fractional coordinates):
Na  0.000  0.000  0.000
Ta  0.000  0.000  0.500
O  0.500  0.500  0.291
O  0.500  0.500  0.709

=====

(2)
DFT (PBE-GGA) results for a geometry-optimized Na2Ta2O5 structure.

Results
Symmetry: Imma (74)

Lattice parameters (Å, degrees): 8.815 8.815 8.815 143.07 53.32 142.93
Atoms (fractional coordinates):
Na  0.126  0.005  0.121
Na  0.384  0.005  0.379
Na  0.616  0.995  0.621
Na  0.874  0.995  0.879
Ta  0.000  0.500  0.500
Ta  0.248  0.498  0.750
Ta  0.500  0.500  0.000
Ta  0.752  0.502  0.250
O  0.000  0.000  0.500
O  0.000  0.500  0.000
O  0.172  0.545  0.627
O  0.239  0.000  0.739
O  0.239  0.500  0.239
O  0.417  0.545  0.873
O  0.583  0.455  0.127
O  0.761  0.000  0.261
O  0.761  0.500  0.761
O  0.828  0.455  0.373

=====

(3)
DFT (PBE-GGA) results for a geometry-optimized NaTaO2 structure.

Results
Symmetry: Fm-3m (225)

Lattice parameters (Å, degrees): 3.882 3.882 3.882 60.00 60.00 60.00
Atoms (fractional coordinates):
Na  0.000  0.000  0.000
Ta  0.500  0.500  0.500
O  0.250  0.250  0.250
O  0.750  0.750  0.750

=====

(4)
DFT (PBE-GGA) results for a geometry-optimized Na2Ta2O5 structure.

Results
Symmetry: P2/m (10)

Lattice parameters (Å, degrees): 4.264 4.026 6.235 90.00 96.81 90.00
Atoms (fractional coordinates):
Na  0.206  0.000  0.158
Na  0.794  0.000  0.842
Ta  0.313  0.500  0.678
Ta  0.687  0.500  0.322
O  0.181  0.500  0.335
O  0.293  0.000  0.691
O  0.500  0.500  0.000
O  0.707  0.000  0.309
O  0.819  0.500  0.665

=====

Calculated values (kJ/mol of atoms) of formation energy without anion corrections for the records, taken in order: -160; -220; -106; -213.
Calculated values (g cm⁻³) of density for the records, taken in order: 8.95; 6.57; 9.47; 7.62.
Calculated values (states/eV/atom) of Fermi-level density of states for the records, taken in order: 0.290; 0.234; 0.000; 0.264.